# CrHg2Rh | the Alexandria database | PBE | relaxed
# Mass density ... 12967 kg/m³
# N(E_F) ... 1.712 states/eV/f.u.
# Relative energy among the computed polymorphs ... 0.0577 eV/atom
# Calculated total energy ... -4.148 eV/atom
# Energy of formation from the pure elements ... 95 kJ/mol of formula units
# Total moment ... 1.10 μB per atom
data_CrHg2Rh
_cell_length_a 4.243
_cell_length_b 4.243
_cell_length_c 3.956
_cell_angle_alpha 90.00
_cell_angle_beta 90.00
_cell_angle_gamma 90.00
_space_group_name_H-M_alt 'P 4/m m m'
_space_group_IT_number 123
_space_group_name_Hall '-P 4 2'
loop_
_atom_site_label
_atom_site_type_symbol
_atom_site_fract_x
_atom_site_fract_y
_atom_site_fract_z
Cr1 Cr 0.000 0.000 0.000
Hg1 Hg 0.000 0.500 0.500
Rh1 Rh 0.500 0.500 0.000



# CrHg2Rh | the Alexandria database | PBE | relaxed
# Mass density ... 13019 kg/m³
# N(E_F) ... 3.094 states/eV/f.u.
# Relative energy among the computed polymorphs ... 0.1035 eV/atom
# Calculated total energy ... -4.102 eV/atom
# Energy of formation from the pure elements ... 113 kJ/mol of formula units
# Total moment ... 0.97 μB per atom
data_CrHg2Rh
_cell_length_a 4.095
_cell_length_b 4.095
_cell_length_c 8.461
_cell_angle_alpha 90.00
_cell_angle_beta 90.00
_cell_angle_gamma 90.00
_space_group_name_H-M_alt 'I -4 m 2'
_space_group_IT_number 119
_space_group_name_Hall 'I -4 -2'
loop_
_atom_site_label
_atom_site_type_symbol
_atom_site_fract_x
_atom_site_fract_y
_atom_site_fract_z
Cr1 Cr 0.000 0.000 0.000
Hg1 Hg 0.000 0.000 0.500
Hg2 Hg 0.000 0.500 0.750
Rh1 Rh 0.000 0.500 0.250



# CrHgRh | the Alexandria database | PBE | relaxed
# Mass density ... 11976 kg/m³
# N(E_F) ... 3.350 states/eV/f.u.
# Relative energy among the computed polymorphs ... 0.0000 eV/atom
# Calculated total energy ... -5.558 eV/atom
# Energy of formation from the pure elements ... 58 kJ/mol of formula units
# Total moment ... 0.94 μB per atom
data_CrHgRh
_cell_length_a 3.026
_cell_length_b 3.393
_cell_length_c 9.603
_cell_angle_alpha 90.00
_cell_angle_beta 90.00
_cell_angle_gamma 90.00
_space_group_name_H-M_alt 'I m m 2'
_space_group_IT_number 44
loop_
_space_group_symop_operation_xyz
'x,y,z'
'-x,-y,z'
'-x,y,z'
'x,-y,z'
'x+1/2,y+1/2,z+1/2'
'-x+1/2,-y+1/2,z+1/2'
'-x+1/2,y+1/2,z+1/2'
'x+1/2,-y+1/2,z+1/2'
loop_
_atom_site_label
_atom_site_type_symbol
_atom_site_fract_x
_atom_site_fract_y
_atom_site_fract_z
Cr1 Cr 0.000 0.000 0.000
Hg1 Hg 0.000 0.000 0.313
Rh1 Rh 0.000 0.000 0.621



- What is the formula in the first record?
  CrHg2Rh



- What is the N(E_F) in the first record?
  1.712 states/eV/f.u.